# SrFeSe2 (PBE, relaxed)
# **Formation energy (no corrections)**: -0.55 eV/atom
# **M_tot**: 7.5 μB/cell
# **Electronic total energy**: -38.6 eV per cell
# **Fermi-level density of states**: 1.15 states/eV per atom
data_SrFeSe2
_symmetry_space_group_name_H-M 'C m m m'
_symmetry_Int_Tables_number 65
_symmetry_space_group_name_Hall '-C 2 2'
_cell_length_a 4.165
_cell_length_b 6.481
_cell_length_c 7.384
_cell_angle_alpha 90.00
_cell_angle_beta 90.00
_cell_angle_gamma 90.00
loop_
_atom_site_label
_atom_site_type_symbol
_atom_site_fract_x
_atom_site_fract_y
_atom_site_fract_z
Sr1 Sr 0.000 0.000 0.000
Fe1 Fe 0.000 0.000 0.500
Se1 Se 0.000 0.500 0.285